No. 1
TiCrIr6: optimized geometry, PBE.

Calculated values
ΔH_f (0 K) ... -0.454 eV/atom
Theoretical density ... 18.24 g cm⁻³
Total magnetization ... 0.11 μB/atom
Space-group type ... No. 123
DOS(E_F) ... 6.224 states/eV/f.u.

abc: 5.450 5.450 3.840
angles: 90.00 90.00 90.00
Element x y z (fractional)
Ti1 0.000 0.000 0.000
Cr1 0.500 0.500 0.000
Ir1 0.000 0.500 0.000
Ir2 0.255 0.255 0.500
Ir3 0.255 0.745 0.500
Ir4 0.500 0.000 0.000
Ir5 0.745 0.255 0.500
Ir6 0.745 0.745 0.500

---

No. 2
KLiTaH2: optimized geometry, PBE.

Calculated values
Theoretical density ... 3.64 g cm⁻³
Electronic total energy ... -2.808 eV per atom
Total magnetization ... 0.72 μB/atom
Space-group type ... No. 123
DOS(E_F) ... 3.593 states/eV/f.u.

abc: 4.552 4.552 5.045
angles: 90.00 90.00 90.00
Element x y z (fractional)
K1 0.000 0.000 0.000
Li1 0.500 0.500 0.500
Ta1 0.500 0.500 0.000
H1 0.000 0.500 0.500
H2 0.500 0.000 0.500

---

No. 3
HIrPb2: optimized geometry, PBE.

Calculated values
Theoretical density ... 10.75 g cm⁻³
Total magnetization ... 0.00 μB/atom
Energy above the lowest structure with this stoichiometry ... 103.7 meV/atom
Space-group type ... No. 122
DOS(E_F) ... 2.173 states/eV/f.u.

abc: 7.377 7.377 7.377
angles: 136.51 136.51 63.19
Element x y z (fractional)
H1 0.000 0.000 0.000
H2 0.750 0.250 0.500
Ir1 0.250 0.750 0.500
Ir2 0.500 0.500 0.000
Pb1 0.070 0.625 0.945
Pb2 0.375 0.320 0.445
Pb3 0.680 0.125 0.055
Pb4 0.875 0.930 0.555

---

No. 4
FeHI: optimized geometry, PBE.

Calculated values
Theoretical density ... 5.85 g cm⁻³
Electronic total energy ... -4.307 eV per atom
Total magnetization ... 0.95 μB/atom
Space-group type ... No. 74
DOS(E_F) ... 0.847 states/eV/f.u.

abc: 6.131 6.131 6.131
angles: 144.80 127.30 64.97
Element x y z (fractional)
Fe1 0.418 0.168 0.250
Fe2 0.582 0.832 0.750
H1 0.422 0.672 0.750
H2 0.578 0.328 0.250
I1 0.153 0.903 0.250
I2 0.847 0.097 0.750

---

No. 5
Cd2HgOs: optimized geometry, PBE.

Calculated values
ΔH_f (0 K) ... 0.552 eV/atom
Theoretical density ... 12.49 g cm⁻³
Total magnetization ... 0.07 μB/atom
Space-group type ... No. 35
DOS(E_F) ... 2.853 states/eV/f.u.

abc: 2.848 2.848 11.472
angles: 90.00 90.00 118.45
Element x y z (fractional)
Cd1 0.000 0.000 0.000
Cd2 0.500 0.500 0.274
Hg1 0.500 0.500 0.714
Os1 0.000 0.000 0.489

---

No. 6
Nd5Dy4Er4: optimized geometry, PBE.

Calculated values
ΔH_f (0 K) ... 0.020 eV/atom
Theoretical density ... 8.00 g cm⁻³
Total magnetization ... 0.00 μB/atom
Space-group type ... No. 87
DOS(E_F) ... 18.511 states/eV/f.u.

abc: 9.494 9.494 9.494
angles: 94.07 94.07 149.11
Element x y z (fractional)
Nd1 0.000 0.000 0.000
Nd2 0.305 0.462 0.766
Nd3 0.462 0.695 0.157
Nd4 0.538 0.305 0.843
Nd5 0.695 0.538 0.234
Dy1 0.155 0.233 0.388
Dy2 0.233 0.845 0.078
Dy3 0.767 0.155 0.922
Dy4 0.845 0.767 0.612
Er1 0.075 0.614 0.689
Er2 0.386 0.075 0.462
Er3 0.614 0.925 0.538
Er4 0.925 0.386 0.311

---

No. 7
CsMnBe2: optimized geometry, PBE.

Calculated values
ΔH_f (0 K) ... 1.624 eV/atom
Theoretical density ... 3.68 g cm⁻³
Total magnetization ... 1.00 μB/atom
Space-group type ... No. 225
DOS(E_F) ... 3.084 states/eV/f.u.

abc: 5.084 5.084 5.084
angles: 60.00 60.00 60.00
Element x y z (fractional)
Cs1 0.000 0.000 0.000
Mn1 0.500 0.500 0.500
Be1 0.250 0.250 0.250
Be2 0.750 0.750 0.750

---

No. 8
Ca2ZrRu: optimized geometry, PBE.

Calculated values
ΔH_f (0 K) ... 0.457 eV/atom
Theoretical density ... 4.72 g cm⁻³
Total magnetization ... 0.00 μB/atom
Energy above the lowest structure with this stoichiometry ... 545.6 meV/atom
Space-group type ... No. 65
DOS(E_F) ... 4.314 states/eV/f.u.

abc: 3.147 3.147 10.528
angles: 90.00 90.00 113.24
Element x y z (fractional)
Ca1 0.000 0.000 0.205
Ca2 0.000 0.000 0.795
Zr1 0.500 0.500 0.500
Ru1 0.500 0.500 0.000